Te2PdBr, relaxed, DFT PBE; E_tot = -3.220 eV/atom; total magnetization = 0.00 μB/f.u.; ΔE_f (raw) = 67 meV per atom
1.0
7.3818 0.0000 0.0000
0.0000 7.3818 0.0000
3.6909 3.6909 4.6394
Te Br Pd
4 2 2
direct
0.6888 0.1250 0.2500
0.0612 0.6250 0.2500
0.3750 0.3112 0.7500
0.8750 0.9388 0.7500
0.5000 0.5000 0.0000
0.2500 0.7500 0.5000
0.0000 0.0000 0.0000
0.7500 0.2500 0.5000